Compound: Nd2Mg3Au2
Source: the Alexandria database
Functional: GGA-PBE
Structure: relaxed

Cell and atoms, written as extended XYZ:
```
7
Lattice="4.616 0.000 0.000 -2.308 4.825 -1.960 0.000 0.001 7.632" Properties=species:S:1:pos:R:3 pbc="T T T"
Nd 0.000 1.330 5.443
Nd 2.308 3.496 0.229
Au 2.308 3.318 4.684
Au 0.000 1.508 0.988
Mg 2.308 0.000 0.000
Mg 0.000 3.573 2.853
Mg 2.308 1.253 2.819
```

Computed properties:
- Energy relative to the elements: -0.553 eV/atom
- Symmetry: C2/m

Compound: NdMgAu
Source: the Alexandria database
Functional: GGA-PBE
Structure: relaxed

Cell and atoms, written as extended XYZ:
```
3
Lattice="-2.529 2.519 -3.357 -0.667 -1.873 -4.479 -4.446 -1.534 -1.378" Properties=species:S:1:pos:R:3 pbc="T T T"
Au -1.911 -0.222 -2.303
Mg -3.821 -0.444 -4.607
Nd 0.000 0.000 0.000
```

Computed properties:
- Energy relative to the elements: -0.486 eV/atom
- Symmetry: F-43m

Look up the energy relative to the elements of the first one.
-0.553 eV/atom

Which value of energy relative to the elements does entry 2 give?
-0.486 eV/atom

Look up the energy relative to the elements of the first one.
-0.553 eV/atom